Record 1
DFT (PBE) results for crystalline SbRuSe4 at its relaxed geometry.

Cell: 5.675 5.675 5.675 Å, 60.00 60.00 60.00°
Positions (direct):
Sb: 0.000 0.000 0.000
Ru: 0.250 0.250 0.250
Se: 0.129 0.624 0.624
Se: 0.624 0.129 0.624
Se: 0.624 0.624 0.129
Se: 0.624 0.624 0.624

Output
As for the density of states at the Fermi level: 5.6 states/eV per cell. Its formation energy from raw total energies is 998.0 meV/atom. The symmetry is F-43m (216).

=====

Record 2
DFT (PBE) results for crystalline Rb5Li at its relaxed geometry.

Cell: 7.753 23.942 5.039 Å, 90.00 90.00 90.00°
Positions (direct):
Rb: 0.000 0.000 0.000
Rb: 0.000 0.185 0.500
Rb: 0.000 0.371 0.000
Rb: 0.000 0.629 0.000
Rb: 0.000 0.815 0.500
Rb: 0.500 0.129 0.000
Rb: 0.500 0.315 0.500
Rb: 0.500 0.500 0.000
Rb: 0.500 0.685 0.500
Rb: 0.500 0.871 0.000
Li: 0.000 0.500 0.500
Li: 0.500 0.000 0.500

Output
As for the density of states at the Fermi level: 9.0 states/eV per cell. As for the total energy: -1.04 eV per atom. The symmetry is Cmmm (65).

=====

Record 3
DFT (PBE) results for crystalline LiAgH at its relaxed geometry.

Cell: 5.370 11.442 4.729 Å, 90.00 90.00 90.00°
Positions (direct):
Li: 0.103 0.185 0.000
Li: 0.122 0.937 0.018
Li: 0.378 0.437 0.518
Li: 0.397 0.685 0.500
Li: 0.603 0.315 0.000
Li: 0.622 0.563 0.018
Li: 0.878 0.063 0.518
Li: 0.897 0.815 0.500
Ag: 0.076 0.690 0.003
Ag: 0.103 0.437 0.998
Ag: 0.397 0.937 0.498
Ag: 0.424 0.190 0.503
Ag: 0.576 0.810 0.003
Ag: 0.603 0.063 0.998
Ag: 0.897 0.563 0.498
Ag: 0.924 0.310 0.503
H: 0.062 0.945 0.398
H: 0.244 0.301 0.276
H: 0.256 0.801 0.776
H: 0.438 0.445 0.898
H: 0.562 0.555 0.398
H: 0.744 0.199 0.276
H: 0.756 0.699 0.776
H: 0.938 0.055 0.898

Output
As for the density of states at the Fermi level: 5.1 states/eV per cell. The energy above the most stable polymorph in this dataset comes out at 0 meV/atom. The symmetry is Pna2_1 (33).